No. 1
PBE-GGA Ho8TlTe4As3, relaxed; energy = -5.381 eV per atom; space-group type = R-3m (166); ρ = 8.56 g/cm³; crystal system = trigonal; formation energy without anion corrections = -20.60 eV/f.u.
1.0
4.2406 2.4483 7.0308
-4.2406 2.4483 7.0308
0.0000 -4.8966 7.0308
Ho Tl Te As
8 1 4 3
Direct
0.2357 0.7450 0.7450
0.2393 0.2393 0.2393
0.2550 0.2550 0.7643
0.2550 0.7643 0.2550
0.7450 0.2357 0.7450
0.7450 0.7450 0.2357
0.7607 0.7607 0.7607
0.7643 0.2550 0.2550
0.5000 0.5000 0.5000
0.0000 0.0000 0.0000
0.0000 0.5000 0.5000
0.5000 0.0000 0.5000
0.5000 0.5000 0.0000
0.0000 0.0000 0.5000
0.0000 0.5000 0.0000
0.5000 0.0000 0.0000

No. 2
PBE-GGA Ho4TlTe2As, relaxed; energy = -5.055 eV per atom; space-group type = P2/m (10); ρ = 8.81 g/cm³; crystal system = monoclinic; formation energy without anion corrections = -8.83 eV/f.u.
1.0
7.5074 0.0000 0.0000
0.0000 4.2082 0.0000
-2.3910 0.0000 7.1224
Ho Tl Te As
4 1 2 1
Direct
0.2346 0.0000 0.2234
0.2465 0.5000 0.7641
0.7535 0.5000 0.2359
0.7654 0.0000 0.7766
0.5000 0.0000 0.0000
0.0000 0.0000 0.5000
0.5000 0.5000 0.5000
0.0000 0.5000 0.0000

No. 3
PBE-GGA HoTmTeAs, relaxed; energy = -5.626 eV per atom; space-group type = R3m (160); ρ = 8.42 g/cm³; crystal system = trigonal; formation energy without anion corrections = -5.66 eV/f.u.
1.0
4.1051 0.0000 0.0000
-2.0526 3.5551 0.0000
0.0000 0.0000 21.7393
Ho Tm Te As
3 3 3 3
Direct
0.0000 0.0000 0.0000
0.3333 0.6667 0.6667
0.6667 0.3333 0.3333
0.0000 0.0000 0.1899
0.3333 0.6667 0.8565
0.6667 0.3333 0.5232
0.0000 0.0000 0.4283
0.3333 0.6667 0.0950
0.6667 0.3333 0.7617
0.0000 0.0000 0.5962
0.3333 0.6667 0.2629
0.6667 0.3333 0.9295

No. 4
PBE-GGA Ho8ZnTe4As3, relaxed; energy = -5.312 eV per atom; space-group type = R-3m (166); ρ = 8.23 g/cm³; crystal system = trigonal; formation energy without anion corrections = -20.58 eV/f.u.
1.0
4.1955 2.4223 7.0118
-4.1955 2.4223 7.0118
0.0000 -4.8445 7.0118
Ho Zn Te As
8 1 4 3
Direct
0.2390 0.2390 0.2390
0.2432 0.7393 0.7393
0.2607 0.2607 0.7568
0.2607 0.7568 0.2607
0.7393 0.2432 0.7393
0.7393 0.7393 0.2432
0.7568 0.2607 0.2607
0.7610 0.7610 0.7610
0.5000 0.5000 0.5000
0.0000 0.0000 0.0000
0.0000 0.5000 0.5000
0.5000 0.0000 0.5000
0.5000 0.5000 0.0000
0.0000 0.0000 0.5000
0.0000 0.5000 0.0000
0.5000 0.0000 0.0000

No. 5
PBE-GGA HoTh5As6, relaxed; energy = -7.211 eV per atom; space-group type = C2/m (12); ρ = 9.18 g/cm³; ΔE_f = -1.41 eV/atom; crystal system = monoclinic
1.0
3.6625 -6.3467 0.0000
3.6625 6.3467 0.0000
-2.4473 0.0000 6.9072
Ho Th As
1 5 6
Direct
0.0000 0.0000 0.0000
0.1678 0.8322 0.5000
0.3340 0.6660 0.0000
0.5000 0.5000 0.5000
0.6660 0.3340 0.0000
0.8322 0.1678 0.5000
0.0816 0.4096 0.2459
0.2448 0.2448 0.7522
0.4096 0.0816 0.2459
0.5904 0.9184 0.7541
0.7552 0.7552 0.2478
0.9184 0.5904 0.7541

No. 6
PBE-GGA Ho2ThAs, relaxed; energy = -5.882 eV per atom; space-group type = P4/mmm (123); ρ = 10.04 g/cm³; ΔE_f = -0.58 eV/atom; crystal system = tetragonal
1.0
3.7078 0.0000 0.0000
0.0000 3.7078 0.0000
0.0000 0.0000 7.6607
Ho Th As
2 1 1
Direct
0.0000 0.0000 0.2042
0.0000 0.0000 0.7958
0.5000 0.5000 0.5000
0.5000 0.5000 0.0000

No. 7
PBE-GGA Ho4ThAs5, relaxed; energy = -6.403 eV per atom; space-group type = Immm (71); ρ = 8.40 g/cm³; ΔE_f = -1.51 eV/atom; crystal system = orthorhombic
1.0
-2.0694 2.9285 10.3231
2.0694 -2.9285 10.3231
2.0694 2.9285 -10.3231
Ho Th As
4 1 5
Direct
0.1023 0.1023 0.0000
0.2972 0.2972 0.0000
0.7028 0.7028 0.0000
0.8977 0.8977 0.0000
0.5000 0.5000 0.0000
0.0000 0.5000 0.5000
0.1997 0.6997 0.5000
0.3969 0.8969 0.5000
0.6031 0.1031 0.5000
0.8003 0.3003 0.5000

No. 8
PBE-GGA Ho3ThAs4, relaxed; energy = -6.456 eV per atom; space-group type = Pm-3m (221); ρ = 8.43 g/cm³; ΔE_f = -1.49 eV/atom; crystal system = cubic
1.0
5.8702 0.0000 0.0000
0.0000 5.8702 0.0000
0.0000 0.0000 5.8702
Ho Th As
3 1 4
Direct
0.0000 0.0000 0.5000
0.0000 0.5000 0.0000
0.5000 0.0000 0.0000
0.5000 0.5000 0.5000
0.0000 0.0000 0.0000
0.0000 0.5000 0.5000
0.5000 0.0000 0.5000
0.5000 0.5000 0.0000

- What is the ρ in the first record?
  8.56 g/cm³

- Look up the energy of the fourth one.
  -5.312 eV per atom

- energy of number 1 (Ho8TlTe4As3)?
  -5.381 eV per atom